(1)
# PBE-GGA NpUSe2, relaxed
data_NpUSe2
_chemical_formula_sum 'Np3 U3 Se6'
_cell_length_a 3.8265
_cell_length_b 3.8265
_cell_length_c 22.8789
_cell_angle_alpha 90.00
_cell_angle_beta 90.00
_cell_angle_gamma 120.00
_symmetry_space_group_name_H-M 'R 3 m'
_symmetry_Int_Tables_number 160
_symmetry_space_group_name_Hall 'R 3 -2"'
loop_
_atom_site_label
_atom_site_fract_x
_atom_site_fract_y
_atom_site_fract_z
Np1 0.0000 0.0000 0.0000
U1 0.0000 0.0000 0.8283
Se1 0.0000 0.0000 0.2458
Se2 0.0000 0.0000 0.4147
# - Uncorrected formation energy: -940.6 meV/atom
# - DOS at the Fermi energy: 33.28 states/eV per cell
# - Total moment: 1.85 μB/atom
# - Uncorrected energy: -8.7401 eV per atom

---

(2)
# PBE-GGA Pr2Nd6In3, relaxed
data_Pr2Nd6In3
_chemical_formula_sum 'Pr4 Nd12 In6'
_cell_length_a 4.659
_cell_length_b 4.659
_cell_length_c 34.682
_cell_angle_alpha 90.00
_cell_angle_beta 90.00
_cell_angle_gamma 90.00
_symmetry_space_group_name_H-M 'I 4/m m m'
_symmetry_Int_Tables_number 139
_symmetry_space_group_name_Hall '-I 4 2'
loop_
_atom_site_label
_atom_site_fract_x
_atom_site_fract_y
_atom_site_fract_z
Pr1 0.000 0.000 0.043
Nd1 0.000 0.000 0.214
Nd2 0.000 0.500 0.127
In1 0.000 0.000 0.307
In2 0.000 0.000 0.500
# - Formation enthalpy at 0 K: -39.3 meV per atom
# - DOS at the Fermi energy: 28.91 states/eV per cell
# - Total moment: 0.00 μB/atom
# - Uncorrected energy: -4.2558 eV per atom

---

(3)
# PBE-GGA HgI2, relaxed
data_HgI2
_chemical_formula_sum 'Hg2 I4'
_cell_length_a 4.506
_cell_length_b 4.506
_cell_length_c 13.526
_cell_angle_alpha 90.00
_cell_angle_beta 90.00
_cell_angle_gamma 90.00
_symmetry_space_group_name_H-M 'P 42/n m c'
_symmetry_Int_Tables_number 137
loop_
_symmetry_equiv_pos_as_xyz
'x,y,z'
'-x,-y,-z'
'-y+1/2,x,z+1/2'
'y+1/2,-x,-z+1/2'
'-x+1/2,-y+1/2,z'
'x+1/2,y+1/2,-z'
'y,-x+1/2,z+1/2'
'-y,x+1/2,-z+1/2'
'x+1/2,-y,-z'
'-x+1/2,y,z'
'-y,-x,-z+1/2'
'y,x,z+1/2'
'-x,y+1/2,-z'
'x,-y+1/2,z'
'y+1/2,x+1/2,-z+1/2'
'-y+1/2,-x+1/2,z+1/2'
loop_
_atom_site_label
_atom_site_fract_x
_atom_site_fract_y
_atom_site_fract_z
Hg1 0.250 0.750 0.250
I1 0.250 0.250 0.119
# - Uncorrected formation energy: -294.1 meV/atom
# - Total moment: 0.00 μB/atom
# - Uncorrected energy: -1.4281 eV per atom

---

(4)
# PBE-GGA Be5Cr, relaxed
data_Be5Cr
_chemical_formula_sum 'Be10 Cr2'
_cell_length_a 8.281
_cell_length_b 2.310
_cell_length_c 5.766
_cell_angle_alpha 90.00
_cell_angle_beta 109.24
_cell_angle_gamma 90.00
_symmetry_space_group_name_H-M 'C 1 m 1'
_symmetry_Int_Tables_number 8
_symmetry_space_group_name_Hall 'C -2y'
loop_
_atom_site_label
_atom_site_fract_x
_atom_site_fract_y
_atom_site_fract_z
Be1 0.000 0.000 0.000
Be2 0.019 0.000 0.589
Be3 0.122 0.500 0.349
Be4 0.195 0.500 0.877
Be5 0.317 0.000 0.650
Cr1 0.333 0.000 0.236
# - Formation enthalpy at 0 K: 46.1 meV per atom
# - DOS at the Fermi energy: 6.04 states/eV per cell
# - Total moment: 0.00 μB/atom
# - Uncorrected energy: -4.6629 eV per atom

---

(5)
# PBE-GGA BP3O, relaxed
data_BP3O
_chemical_formula_sum 'B1 P3 O1'
_cell_length_a 4.089
_cell_length_b 4.089
_cell_length_c 4.089
_cell_angle_alpha 90.00
_cell_angle_beta 90.00
_cell_angle_gamma 90.00
_symmetry_space_group_name_H-M 'P m -3 m'
_symmetry_Int_Tables_number 221
_symmetry_space_group_name_Hall '-P 4 2 3'
loop_
_atom_site_label
_atom_site_fract_x
_atom_site_fract_y
_atom_site_fract_z
B1 0.000 0.000 0.000
P1 0.000 0.500 0.500
O1 0.500 0.500 0.500
# - Uncorrected formation energy: 1370.5 meV/atom
# - DOS at the Fermi energy: 3.44 states/eV per cell
# - Total moment: 0.00 μB/atom
# - Uncorrected energy: -4.2025 eV per atom

---

(6)
# PBE-GGA SrPuIO6, relaxed
data_SrPuIO6
_chemical_formula_sum 'Sr2 Pu2 I2 O12'
_cell_length_a 5.7237
_cell_length_b 5.7237
_cell_length_c 10.5093
_cell_angle_alpha 90.00
_cell_angle_beta 90.00
_cell_angle_gamma 120.00
_symmetry_space_group_name_H-M 'P -3 1 c'
_symmetry_Int_Tables_number 163
_symmetry_space_group_name_Hall '-P 3 2c'
loop_
_atom_site_label
_atom_site_fract_x
_atom_site_fract_y
_atom_site_fract_z
Sr1 0.0000 0.0000 0.0000
Pu1 0.3333 0.6667 0.2500
I1 0.3333 0.6667 0.7500
O1 0.0078 0.3716 0.6442
# - Uncorrected formation energy: -1858.0 meV/atom
# - DOS at the Fermi energy: 15.07 states/eV per cell
# - Total moment: 0.33 μB/atom
# - Uncorrected energy: -7.1150 eV per atom

---

(7)
# PBE-GGA CaDyAgGe, relaxed
data_CaDyAgGe
_chemical_formula_sum 'Ca4 Dy4 Ag4 Ge4'
_cell_length_a 7.235
_cell_length_b 7.235
_cell_length_c 7.235
_cell_angle_alpha 90.00
_cell_angle_beta 90.00
_cell_angle_gamma 90.00
_symmetry_space_group_name_H-M 'F -4 3 m'
_symmetry_Int_Tables_number 216
_symmetry_space_group_name_Hall 'F -4 2 3'
loop_
_atom_site_label
_atom_site_fract_x
_atom_site_fract_y
_atom_site_fract_z
Ca1 0.000 0.000 0.000
Dy1 0.000 0.000 0.500
Ag1 0.250 0.250 0.250
Ge1 0.250 0.250 0.750
# - Formation enthalpy at 0 K: -528.3 meV per atom
# - DOS at the Fermi energy: 6.69 states/eV per cell
# - Total moment: 0.00 μB/atom
# - Uncorrected energy: -4.0463 eV per atom

---

(8)
# PBE-GGA AgSnSeO5, relaxed
data_AgSnSeO5
_chemical_formula_sum 'Ag4 Sn4 Se4 O20'
_cell_length_a 7.333
_cell_length_b 9.384
_cell_length_c 7.560
_cell_angle_alpha 90.00
_cell_angle_beta 115.37
_cell_angle_gamma 90.00
_symmetry_space_group_name_H-M 'C 1 2/c 1'
_symmetry_Int_Tables_number 15
_symmetry_space_group_name_Hall '-C 2yc'
loop_
_atom_site_label
_atom_site_fract_x
_atom_site_fract_y
_atom_site_fract_z
Ag1 0.000 0.176 0.250
Sn1 0.000 0.500 0.000
Se1 0.000 0.178 0.750
O1 0.000 0.423 0.250
O2 0.103 0.290 0.620
O3 0.184 0.057 0.907
# - Uncorrected formation energy: -735.4 meV/atom
# - DOS at the Fermi energy: 9.62 states/eV per cell
# - Total moment: 0.00 μB/atom
# - Uncorrected energy: -5.1266 eV per atom